1.
Ba2TmSb3Pt4: optimized geometry, PBE-GGA.

extended XYZ file:
```
10
Lattice="4.7407 0.0000 0.0000 0.0000 4.7407 0.0000 0.0000 0.0000 11.1789" Properties=species:S:1:pos:R:3 pbc="T T T"
Ba 0.0000 2.3703 2.6097
Ba 2.3703 0.0000 8.5692
Tm 0.0000 0.0000 5.5895
Sb 0.0000 2.3703 9.8181
Sb 2.3703 0.0000 1.3608
Sb 2.3703 2.3703 5.5895
Pt 0.0000 0.0000 0.0000
Pt 0.0000 2.3703 7.0985
Pt 2.3703 0.0000 4.0804
Pt 2.3703 2.3703 0.0000
```

Results
- Magnetic moment: 0.00 μB per formula unit
- Total energy: -5.387 eV per atom
- ρ: 10.504 Mg/m³

=====

2.
PdRhIN2: optimized geometry, PBE-GGA.

extended XYZ file:
```
5
Lattice="3.7788 0.0000 0.0000 0.0000 3.7788 0.0000 0.0000 0.0000 8.4004" Properties=species:S:1:pos:R:3 pbc="T T T"
Pd 0.0000 0.0000 0.0000
Rh 1.8894 1.8894 4.2002
I 1.8894 1.8894 0.0000
N 0.0000 1.8894 4.2002
N 1.8894 0.0000 4.2002
```

Results
- Magnetic moment: 0.24 μB per formula unit
- Energy relative to the lowest polymorph listed for this composition: 0 meV/atom
- ρ: 5.042 Mg/m³

=====

3.
Ca2Al3PdAu12: optimized geometry, PBE-GGA.

extended XYZ file:
```
18
Lattice="4.3303 2.5001 6.3215 -4.3303 2.5001 6.3215 0.0000 -5.0002 6.3215" Properties=species:S:1:pos:R:3 pbc="T T T"
Ca 0.0000 0.0000 2.1098
Ca 0.0000 0.0000 16.8548
Al -2.1651 -1.2500 6.3215
Al -2.1651 1.2500 12.6431
Al 0.0000 2.5001 6.3215
Pd 0.0000 0.0000 9.4823
Au -2.2323 -1.2888 8.8089
Au 0.0000 -2.3430 5.6076
Au -2.0291 1.1715 5.6076
Au 0.0000 -2.5777 10.1557
Au -2.2323 1.2888 10.1557
Au -2.0291 -1.1715 13.3570
Au 2.0291 1.1715 5.6076
Au 2.2323 -1.2888 8.8089
Au 0.0000 2.5777 8.8089
Au 2.0291 -1.1715 13.3570
Au 0.0000 2.3430 13.3570
Au 2.2323 1.2888 10.1557
```

Results
- Magnetic moment: 0.00 μB per formula unit
- Formation energy: -0.1424 eV/atom
- ρ: 10.640 Mg/m³

=====

4.
NdTm2Ir9: optimized geometry, PBE-GGA.

extended XYZ file:
```
12
Lattice="2.6621 1.5370 8.7291 -2.6621 1.5370 8.7291 0.0000 -3.0740 8.7291" Properties=species:S:1:pos:R:3 pbc="T T T"
Nd 0.0000 0.0000 0.0000
Tm 0.0000 0.0000 3.6594
Tm 0.0000 0.0000 22.5279
Ir -1.3331 -0.7697 10.9035
Ir 0.0000 0.0000 8.7246
Ir 0.0000 -1.5394 15.2838
Ir -1.3331 0.7697 15.2838
Ir 0.0000 0.0000 13.0937
Ir 1.3331 -0.7697 10.9035
Ir 0.0000 1.5394 10.9035
Ir 0.0000 0.0000 17.4628
Ir 1.3331 0.7697 15.2839
```

Results
- Magnetic moment: 0.00 μB per formula unit
- Formation energy: -0.5851 eV/atom
- ρ: 17.141 Mg/m³

=====

5.
Nd2Zn2SnPt5: optimized geometry, PBE-GGA.

extended XYZ file:
```
20
Lattice="9.8833 0.0000 0.0000 0.0000 9.8833 0.0000 0.0000 0.0000 3.8613" Properties=species:S:1:pos:R:3 pbc="T T T"
Nd 1.7643 3.1774 0.0000
Nd 3.1774 8.1191 0.0000
Nd 6.7059 1.7643 0.0000
Nd 8.1191 6.7059 0.0000
Zn 1.1701 6.1117 0.0000
Zn 3.7716 1.1701 0.0000
Zn 6.1117 8.7133 0.0000
Zn 8.7133 3.7716 0.0000
Sn 0.0000 0.0000 0.0000
Sn 4.9417 4.9417 0.0000
Pt 0.0000 4.9417 1.9306
Pt 0.6235 7.8026 1.9306
Pt 2.0807 0.6235 1.9306
Pt 2.8610 5.5652 1.9306
Pt 4.3181 2.8610 1.9306
Pt 4.9417 0.0000 1.9306
Pt 5.5652 7.0223 1.9306
Pt 7.0223 4.3181 1.9306
Pt 7.8026 9.2598 1.9306
Pt 9.2598 2.0807 1.9306
```

Results
- Magnetic moment: 0.00 μB per formula unit
- Formation energy: -0.7835 eV/atom
- ρ: 13.326 Mg/m³

=====

6.
CsRbRuBr6: optimized geometry, PBE-GGA.

extended XYZ file:
```
9
Lattice="8.1297 0.0000 0.0000 -4.0648 7.0405 0.0000 0.0000 0.0000 6.9881" Properties=species:S:1:pos:R:3 pbc="T T T"
Cs 0.0000 0.0000 0.0000
Rb 4.0648 2.3468 3.4941
Ru 0.0000 4.6937 3.4941
Br -1.0244 2.9276 2.0246
Br -2.0417 4.6895 4.9635
Br 1.0244 2.9276 4.9635
Br -1.0173 6.4639 2.0246
Br 2.0417 4.6895 2.0246
Br 1.0173 6.4639 4.9635
```

Results
- Magnetic moment: 2.00 μB per formula unit
- Total energy: -3.242 eV per atom
- ρ: 3.317 Mg/m³

=====

> Which value of ρ does entry 2 give?

5.042 Mg/m³

=====

> Look up the magnetic moment of the third one.

0.00 μB per formula unit

=====

> magnetic moment of number 6 (CsRbRuBr6)?

2.00 μB per formula unit